Ir4Se | the Alexandria database | GGA-PBEsol | relaxed; SG = I4/mmm (139); formation energy without anion corrections = 58 kJ per mole of atoms; spin magnetization = 0.00 Bohr magnetons per cell; volume = 82 Å³/cell; final energy = -8.03 eV per atom
1.0
-0.3360 -1.8056 3.1172
-2.8404 -1.7928 -1.3446
5.4212 -2.6503 -3.0505
Ir Se
4 1
direct
0.6001 0.6001 0.2003
0.7500 0.2500 0.5000
0.3999 0.3999 0.7997
0.2500 0.7500 0.5000
0.0000 0.0000 0.0000



NiWIN2 | the Alexandria database | GGA-PBEsol | relaxed; SG = P4/mmm (123); formation energy without anion corrections = 191 kJ per mole of atoms; spin magnetization = 0.33 Bohr magnetons per cell; volume = 72 Å³/cell; final energy = -5.78 eV per atom
1.0
3.8317 0.0000 0.0000
0.0000 3.8317 0.0000
0.0000 0.0000 4.8760
N W Ni I
2 1 1 1
direct
0.5000 0.0000 0.0000
0.0000 0.5000 0.0000
0.5000 0.5000 0.5000
0.0000 0.0000 0.0000
0.0000 0.0000 0.5000



LiZn2Ag | the Alexandria database | GGA-PBEsol | relaxed; SG = I-4m2 (119); spin magnetization = 0.00 Bohr magnetons per cell; volume = 57 Å³/cell; energy relative to the elements = -0.169 eV per atom; final energy = -2.28 eV per atom
1.0
3.8951 0.0000 0.0000
0.0000 3.8951 0.0000
-1.9475 -1.9475 3.7852
Zn Ag Li
2 1 1
direct
0.0000 0.0000 0.0000
0.7500 0.2500 0.5000
0.5000 0.5000 0.0000
0.2500 0.7500 0.5000



Cs2Ag2Pb | the Alexandria database | GGA-PBEsol | relaxed; SG = I4/mmm (139); distance to the lowest polymorph of the same formula = 0.00 eV per formula unit; spin magnetization = 0.40 Bohr magnetons per cell; volume = 172 Å³/cell; energy relative to the elements = 0.129 eV per atom; final energy = -2.37 eV per atom
1.0
-3.6401 0.5411 -0.9287
-0.5198 -3.7567 -0.1516
-0.8837 1.5503 12.1229
Cs Pb Ag
2 1 2
direct
0.6194 0.6194 0.2389
0.3806 0.3806 0.7611
0.0000 0.0000 0.0000
0.2500 0.7500 0.5000
0.7500 0.2500 0.5000



YTlP2 | the Alexandria database | GGA-PBEsol | relaxed; SG = I-42d (122); distance to the lowest polymorph of the same formula = 1.20 eV per formula unit; spin magnetization = 0.00 Bohr magnetons per cell; volume = 229 Å³/cell; energy relative to the elements = -0.327 eV per atom; final energy = -5.59 eV per atom
1.0
-4.5395 3.2712 -2.6873
2.3752 -1.2936 -5.5870
-2.2800 -5.8953 3.8439
Y P Tl
2 4 2
direct
0.5000 0.5000 0.0000
0.7500 0.2500 0.5000
0.8869 0.3750 0.2500
0.6250 0.6369 0.7500
0.1250 0.1131 0.7500
0.3631 0.8750 0.2500
0.0000 0.0000 0.0000
0.2500 0.7500 0.5000



SrAl2TcBi | the Alexandria database | GGA-PBEsol | relaxed; SG = P4/mmm (123); spin magnetization = 1.45 Bohr magnetons per cell; volume = 144 Å³/cell; energy relative to the elements = 1.825 eV per atom; final energy = -3.29 eV per atom
1.0
4.8349 0.0000 0.0000
0.0000 5.4531 0.0000
0.0000 0.0000 5.4531
Al Sr Tc Bi
2 1 1 1
direct
0.0000 0.0000 0.5000
0.0000 0.5000 0.0000
0.0000 0.0000 0.0000
0.5000 0.0000 0.0000
0.5000 0.5000 0.5000



LiTiW2I | the Alexandria database | GGA-PBEsol | relaxed; SG = P4/mmm (123); formation energy without anion corrections = 192 kJ per mole of atoms; spin magnetization = 0.00 Bohr magnetons per cell; volume = 103 Å³/cell; final energy = -5.94 eV per atom
1.0
4.2903 0.0000 0.0000
0.0000 4.8946 0.0000
0.0000 0.0000 4.8946
I Li W Ti
1 1 2 1
direct
0.0000 0.0000 0.0000
0.5000 0.0000 0.0000
0.0000 0.0000 0.5000
0.0000 0.5000 0.0000
0.5000 0.5000 0.5000



LiNd2Ir | the Alexandria database | GGA-PBEsol | relaxed; SG = Fm-3m (225); spin magnetization = 0.00 Bohr magnetons per cell; volume = 89 Å³/cell; energy relative to the elements = -0.368 eV per atom; final energy = -5.90 eV per atom
1.0
-3.7498 -3.1800 0.9682
0.6743 -4.9282 -0.6073
0.2360 -3.0084 4.0006
Li Nd Ir
1 2 1
direct
0.0000 0.0000 0.0000
0.2500 0.2500 0.2500
0.7500 0.7500 0.7500
0.5000 0.5000 0.5000